Record 1
A geometry-optimized Be2GaPd3 structure, computed with GGA-PBE.

Properties
M_tot ... 0.00 μB per cell

a b c (Å): 2.8362 2.8362 9.3671
angles (deg): 90.00 90.00 90.00
Last column: nearest neighbours and their distance in Å.
Element x y z (fractional)
Be  0.5000  0.5000  0.8485  8 Pd 2.46
Be  0.5000  0.5000  0.1515  8 Pd 2.46
Ga  0.5000  0.5000  0.5000  8 Pd 2.72, 4 Ga 2.84
Pd  0.0000  0.0000  0.0000  8 Be 2.46
Pd  0.0000  0.0000  0.6963  4 Be 2.46, 4 Ga 2.72
Pd  0.0000  0.0000  0.3037  4 Be 2.46, 4 Ga 2.72

---

Record 2
A geometry-optimized BeGaPd2 structure, computed with GGA-PBE.

Properties
M_tot ... 0.00 μB per cell

a b c (Å): 3.2901 4.0271 4.0271
angles (deg): 90.00 90.00 90.00
Last column: nearest neighbours and their distance in Å.
Element x y z (fractional)
Be  0.5000  0.5000  0.5000  8 Pd 2.60, 4 Ga 2.85
Ga  0.5000  0.0000  0.0000  8 Pd 2.60, 4 Be 2.85
Pd  0.0000  0.0000  0.5000  4 Be 2.60, 4 Ga 2.60, 4 Pd 2.85
Pd  0.0000  0.5000  0.0000  4 Be 2.60, 4 Ga 2.60, 4 Pd 2.85

---

Record 3
A geometry-optimized BeGaPd6 structure, computed with GGA-PBE.

Properties
M_tot ... 0.00 μB per cell

a b c (Å): 5.9402 5.9460 5.2713
angles (deg): 55.98 55.89 59.93
Last column: nearest neighbours and their distance in Å.
Element x y z (fractional)
Be  0.0000  0.0000  0.0000  6 Pd 2.29-2.30
Ga  0.5000  0.5000  0.5000  6 Pd 2.50
Pd  0.0098  0.4569  0.7672  1 Be 2.29, 1 Ga 2.50
Pd  0.7650  0.0095  0.7645  1 Be 2.30, 1 Ga 2.50
Pd  0.5405  0.2341  0.2338  1 Be 2.29, 1 Ga 2.50
Pd  0.2350  0.9905  0.2355  1 Be 2.30, 1 Ga 2.50
Pd  0.9902  0.5431  0.2328  1 Be 2.29, 1 Ga 2.50
Pd  0.4595  0.7659  0.7662  1 Be 2.29, 1 Ga 2.50

---

Record 4
A geometry-optimized Be2Ga5Pd12 structure, computed with GGA-PBE.

Properties
M_tot ... 0.00 μB per cell

a b c (Å): 5.6530 7.6055 7.0855
angles (deg): 82.43 90.00 111.82
Last column: nearest neighbours and their distance in Å.
Element x y z (fractional)
Be  0.6871  0.0000  0.0000  1 Be 2.12, 6 Pd 2.25-2.31
Be  0.3129  0.0000  0.0000  1 Be 2.12, 6 Pd 2.25-2.31
Ga  0.2286  0.4573  0.7578  9 Pd 2.55-2.77, 2 Ga 2.85
Ga  0.2968  0.5935  0.2389  9 Pd 2.62-2.94, 2 Ga 2.85
Ga  0.0000  0.0000  0.5000  6 Pd 2.41-2.56
Ga  0.7032  0.4065  0.7611  9 Pd 2.62-2.94, 2 Ga 2.85
Ga  0.7714  0.5427  0.2422  9 Pd 2.55-2.77, 2 Ga 2.85
Pd  0.9536  0.9072  0.1862  2 Be 2.25, 1 Ga 2.41
Pd  0.0957  0.6960  0.9282  1 Be 2.30
Pd  0.6004  0.6960  0.9282  1 Be 2.30
Pd  0.0991  0.6960  0.5203  5 Ga 2.56-2.85, 3 Pd 2.81-2.84
Pd  0.5969  0.6960  0.5203  5 Ga 2.56-2.85, 3 Pd 2.81-2.84
Pd  0.5005  0.0010  0.7100  2 Be 2.31
Pd  0.4995  0.9990  0.2900  2 Be 2.31
Pd  0.9009  0.3040  0.4797  5 Ga 2.56-2.85, 3 Pd 2.81-2.84
Pd  0.4031  0.3040  0.4797  5 Ga 2.56-2.85, 3 Pd 2.81-2.84
Pd  0.9043  0.3040  0.0718  1 Be 2.30
Pd  0.3996  0.3040  0.0718  1 Be 2.30
Pd  0.0464  0.0928  0.8138  2 Be 2.25, 1 Ga 2.41

---

Record 5
A geometry-optimized Be2GaPd2 structure, computed with GGA-PBE.

Properties
M_tot ... 0.00 μB per cell

a b c (Å): 6.7217 6.7217 2.8556
angles (deg): 90.00 90.00 90.00
Last column: nearest neighbours and their distance in Å.
Element x y z (fractional)
Be  0.1340  0.6340  0.5000  6 Pd 2.43-2.45, 1 Be 2.55
Be  0.6340  0.8660  0.5000  6 Pd 2.43-2.45, 1 Be 2.55
Be  0.8660  0.3660  0.5000  6 Pd 2.43-2.45, 1 Be 2.55
Be  0.3660  0.1340  0.5000  6 Pd 2.43-2.45, 1 Be 2.55
Ga  0.0000  0.0000  0.0000  4 Pd 2.54
Ga  0.5000  0.5000  0.0000  4 Pd 2.54
Pd  0.3432  0.8432  0.0000  6 Be 2.43-2.45, 2 Ga 2.54
Pd  0.8432  0.6568  0.0000  6 Be 2.43-2.45, 2 Ga 2.54
Pd  0.6568  0.1568  0.0000  6 Be 2.43-2.45, 2 Ga 2.54
Pd  0.1568  0.3432  0.0000  6 Be 2.43-2.45, 2 Ga 2.54

---

Record 6
A geometry-optimized BeGa2Pd8 structure, computed with GGA-PBE.

Properties
M_tot ... 0.00 μB per cell

a b c (Å): 4.0507 5.5200 7.7287
angles (deg): 101.89 105.19 90.00
Last column: nearest neighbours and their distance in Å.
Element x y z (fractional)
Be  0.5000  0.0000  0.0000  6 Pd 2.20-2.45
Ga  0.8181  0.2603  0.6361  9 Pd 2.50-2.69
Ga  0.1819  0.7397  0.3639  9 Pd 2.50-2.69
Pd  0.4042  0.5375  0.8084  1 Be 2.65, 2 Ga 2.69, 7 Pd 2.75-2.90
Pd  0.6467  0.9868  0.2933  1 Be 2.20
Pd  0.7885  0.6893  0.5769  3 Ga 2.50-2.63, 2 Pd 2.74
Pd  0.9844  0.2359  0.9688  2 Be 2.45, 1 Ga 2.51
Pd  0.2115  0.3107  0.4231  3 Ga 2.50-2.63, 2 Pd 2.74
Pd  0.3533  0.0132  0.7067  1 Be 2.20
Pd  0.5958  0.4625  0.1916  1 Be 2.65, 2 Ga 2.69, 7 Pd 2.75-2.90
Pd  0.0156  0.7641  0.0312  2 Be 2.45, 1 Ga 2.51

---

Record 7
A geometry-optimized Be4GaPd structure, computed with GGA-PBE.

Properties
M_tot ... 0.00 μB per cell

a b c (Å): 4.4072 4.4072 4.4072
angles (deg): 60.00 60.00 60.00
Last column: nearest neighbours and their distance in Å.
Element x y z (fractional)
Be  0.6260  0.6260  0.1221  6 Be 2.19-2.22
Be  0.6260  0.1221  0.6260  6 Be 2.19-2.22
Be  0.6260  0.6260  0.6260  6 Be 2.19-2.22
Be  0.1221  0.6260  0.6260  6 Be 2.19-2.22
Ga  0.2500  0.2500  0.2500  12 Be 2.59, 4 Pd 2.70
Pd  0.0000  0.0000  0.0000  12 Be 2.58, 4 Ga 2.70

---

Record 8
A geometry-optimized BeGaPd structure, computed with GGA-PBE.

Properties
M_tot ... 0.00 μB per cell

a b c (Å): 2.8132 4.0407 4.0407
angles (deg): 120.00 90.00 90.00
Last column: nearest neighbours and their distance in Å.
Element x y z (fractional)
Be  0.1612  0.6667  0.3333  3 Pd 2.33
Ga  0.6692  0.3333  0.6667  6 Be 2.71-2.74, 6 Pd 2.72, 2 Ga 2.81
Pd  0.1696  0.0000  0.0000  3 Be 2.33

---

Record 9
A geometry-optimized BeGaPd2 structure, computed with GGA-PBE.

Properties
M_tot ... 0.00 μB per cell

a b c (Å): 3.8933 3.8933 8.5561
angles (deg): 76.85 76.85 90.00
Last column: nearest neighbours and their distance in Å.
Element x y z (fractional)
Be  0.5000  0.5000  0.0000  4 Pd 2.42
Be  0.2500  0.7500  0.5000  4 Pd 2.42
Ga  0.0000  0.0000  0.0000  4 Pd 2.47, 4 Be 2.75
Ga  0.7500  0.2500  0.5000  4 Pd 2.47, 4 Be 2.75
Pd  0.6092  0.1250  0.2500  2 Be 2.42, 2 Ga 2.47, 2 Pd 2.67
Pd  0.1408  0.6250  0.2500  2 Be 2.42, 2 Ga 2.47, 2 Pd 2.67
Pd  0.3750  0.3908  0.7500  2 Be 2.42, 2 Ga 2.47, 2 Pd 2.67
Pd  0.8750  0.8592  0.7500  2 Be 2.42, 2 Ga 2.47, 2 Pd 2.67

---

Record 10
A geometry-optimized BeGaPd2 structure, computed with GGA-PBE.

Properties
M_tot ... 0.00 μB per cell

a b c (Å): 5.4959 5.4959 5.4959
angles (deg): 57.86 150.71 131.29
Last column: nearest neighbours and their distance in Å.
Element x y z (fractional)
Be  0.0000  0.0000  0.0000  2 Pd 2.11
Ga  0.0000  0.5000  0.5000  4 Be 2.66, 2 Pd 2.70, 2 Ga 2.78
Pd  0.0000  0.2198  0.2198  1 Be 2.11
Pd  0.0000  0.7802  0.7802  1 Be 2.11

---

Record 11
A geometry-optimized BeGaPd3 structure, computed with GGA-PBE.

Properties
M_tot ... 0.00 μB per cell

a b c (Å): 4.2156 4.2156 4.2156
angles (deg): 90.00 90.00 90.00
Last column: nearest neighbours and their distance in Å.
Element x y z (fractional)
Be  0.0000  0.0000  0.0000  6 Pd 2.11
Ga  0.5000  0.5000  0.5000  12 Pd 2.98
Pd  0.0000  0.5000  0.0000  2 Be 2.11
Pd  0.0000  0.0000  0.5000  2 Be 2.11
Pd  0.5000  0.0000  0.0000  2 Be 2.11

---

Record 12
A geometry-optimized BeGaPd structure, computed with GGA-PBE.

Properties
M_tot ... 0.00 μB per cell

a b c (Å): 3.6726 3.6726 8.4809
angles (deg): 77.50 77.50 60.00
Last column: nearest neighbours and their distance in Å.
Element x y z (fractional)
Be  0.9599  0.9599  0.1204  1 Be 2.14, 3 Pd 2.32, 3 Ga 2.35
Be  0.8728  0.8728  0.3815  1 Be 2.14, 1 Pd 2.17, 3 Ga 2.40
Pd  0.6645  0.6645  0.0066  3 Be 2.32
Pd  0.7848  0.7848  0.6455  1 Be 2.17
Ga  0.2517  0.2517  0.2448  6 Be 2.35-2.40
Ga  0.0633  0.0633  0.8100  6 Pd 2.51-2.66, 1 Be 2.55

---

Record 13
A geometry-optimized BeGaPd3 structure, computed with GGA-PBE.

Properties
M_tot ... 0.00 μB per cell

a b c (Å): 4.5704 4.5704 4.5704
angles (deg): 90.00 90.00 90.00
Last column: nearest neighbours and their distance in Å.
Element x y z (fractional)
Be  0.5000  0.5000  0.5000  12 Pd 3.23
Ga  0.0000  0.0000  0.0000  6 Pd 2.29
Pd  0.0000  0.5000  0.0000  2 Ga 2.29
Pd  0.0000  0.0000  0.5000  2 Ga 2.29
Pd  0.5000  0.0000  0.0000  2 Ga 2.29

---

Record 14
A geometry-optimized Be2GaPd2 structure, computed with GGA-PBE.

Properties
M_tot ... 0.00 μB per cell

a b c (Å): 6.4453 6.4453 2.9423
angles (deg): 90.00 90.00 90.00
Last column: nearest neighbours and their distance in Å.
Element x y z (fractional)
Be  0.3771  0.8771  0.0000  1 Be 2.24, 6 Pd 2.40-2.41
Be  0.8771  0.6229  0.0000  1 Be 2.24, 6 Pd 2.40-2.41
Be  0.6229  0.1229  0.0000  1 Be 2.24, 6 Pd 2.40-2.41
Be  0.1229  0.3771  0.0000  1 Be 2.24, 6 Pd 2.40-2.41
Ga  0.0000  0.0000  0.0000  4 Be 2.56, 8 Pd 2.81
Ga  0.5000  0.5000  0.0000  4 Be 2.56, 8 Pd 2.81
Pd  0.1684  0.6684  0.5000  6 Be 2.40-2.41
Pd  0.6684  0.8316  0.5000  6 Be 2.40-2.41
Pd  0.8316  0.3316  0.5000  6 Be 2.40-2.41
Pd  0.3316  0.1684  0.5000  6 Be 2.40-2.41

---

Record 15
A geometry-optimized BeGaPd2 structure, computed with GGA-PBE.

Properties
M_tot ... 0.00 μB per cell

a b c (Å): 3.6551 3.6551 5.4289
angles (deg): 70.33 70.33 60.00
Last column: nearest neighbours and their distance in Å.
Element x y z (fractional)
Be  0.6691  0.6691  0.9926  6 Pd 2.31-2.35, 1 Ga 2.57
Ga  0.4979  0.4979  0.5063  1 Be 2.57, 6 Pd 2.58-2.61
Pd  0.0659  0.0659  0.8024  3 Be 2.31, 3 Ga 2.58
Pd  0.2671  0.2671  0.1987  3 Be 2.35, 3 Ga 2.61

---

Record 16
A geometry-optimized Pm2BeGa2Pd4 structure, computed with GGA-PBE.

Properties
M_tot ... 0.00 μB per cell

a b c (Å): 6.0616 6.0616 6.0616
angles (deg): 97.44 115.80 115.80
Last column: nearest neighbours and their distance in Å.
Element x y z (fractional)
Pm  0.5000  0.7500  0.2500  8 Pd 3.03, 4 Ga 3.26
Pm  0.5000  0.2500  0.7500  8 Pd 3.03, 4 Ga 3.26
Be  0.0000  0.0000  0.0000  4 Pd 2.33, 2 Ga 2.48
Ga  0.0000  0.6905  0.6905  1 Be 2.48, 4 Pd 2.70
Ga  0.0000  0.3095  0.3095  1 Be 2.48, 4 Pd 2.70
Pd  0.0000  0.7443  0.2557  1 Be 2.33
Pd  0.4885  0.7443  0.7443  1 Be 2.33
Pd  0.0000  0.2557  0.7443  1 Be 2.33
Pd  0.5115  0.2557  0.2557  1 Be 2.33

---

Record 17
A geometry-optimized PmBeGa2Pd4 structure, computed with GGA-PBE.

Properties
M_tot ... 0.00 μB per cell

a b c (Å): 4.2834 4.2834 8.7795
angles (deg): 75.88 75.88 60.00
Last column: nearest neighbours and their distance in Å.
Element x y z (fractional)
Pm  0.0000  0.0000  0.0000  8 Pd 3.11-3.45, 6 Ga 3.40
Be  0.5000  0.5000  0.5000  8 Pd 2.33-2.59
Ga  0.7592  0.7592  0.7223  7 Pd 2.51-2.71
Ga  0.2408  0.2408  0.2777  7 Pd 2.51-2.71
Pd  0.4079  0.4079  0.7764  1 Be 2.33, 3 Ga 2.51
Pd  0.8634  0.8634  0.4097  3 Be 2.59, 4 Ga 2.63-2.71
Pd  0.1366  0.1366  0.5903  3 Be 2.59, 4 Ga 2.63-2.71
Pd  0.5921  0.5921  0.2236  1 Be 2.33, 3 Ga 2.51

---

Record 18
A geometry-optimized Pm2BeGa4Pd3 structure, computed with GGA-PBE.

Properties
M_tot ... 0.00 μB per cell

a b c (Å): 4.1955 4.1955 10.6639
angles (deg): 90.00 90.00 90.00
Last column: nearest neighbours and their distance in Å.
Element x y z (fractional)
Pm  0.5000  0.0000  0.2572  8 Ga 3.22-3.45, 6 Pd 3.23-3.33, 2 Be 3.33
Pm  0.0000  0.5000  0.7428  8 Ga 3.22-3.45, 6 Pd 3.23-3.33, 2 Be 3.33
Be  0.5000  0.5000  0.5000  4 Ga 2.49
Ga  0.5000  0.5000  0.0000  4 Pd 2.56
Ga  0.0000  0.0000  0.0000  4 Pd 2.56
Ga  0.5000  0.0000  0.6257  2 Be 2.49, 3 Pd 2.49-2.52
Ga  0.0000  0.5000  0.3743  2 Be 2.49, 3 Pd 2.49-2.52
Pd  0.0000  0.0000  0.5000  4 Ga 2.49
Pd  0.5000  0.0000  0.8620  5 Ga 2.52-2.56
Pd  0.0000  0.5000  0.1380  5 Ga 2.52-2.56

---

Record 19
A geometry-optimized PmBeGa4Pd2 structure, computed with GGA-PBE.

Properties
M_tot ... 0.00 μB per cell

a b c (Å): 4.2857 4.2857 8.9862
angles (deg): 76.20 76.20 60.00
Last column: nearest neighbours and their distance in Å.
Element x y z (fractional)
Pm  0.0000  0.0000  0.0000  8 Ga 3.02-3.33
Be  0.5000  0.5000  0.5000  8 Ga 2.58-2.66
Ga  0.4004  0.4004  0.7989  1 Be 2.58, 3 Pd 2.64
Ga  0.8714  0.8714  0.3859  4 Pd 2.57-2.66, 3 Be 2.66
Ga  0.1286  0.1286  0.6141  4 Pd 2.57-2.66, 3 Be 2.66
Ga  0.5996  0.5996  0.2011  1 Be 2.58, 3 Pd 2.64
Pd  0.7687  0.7687  0.6938  7 Ga 2.57-2.66
Pd  0.2313  0.2313  0.3062  7 Ga 2.57-2.66

---

Record 20
A geometry-optimized Pm3Be2GaPd9 structure, computed with GGA-PBE.

Properties
M_tot ... 0.00 μB per cell

a b c (Å): 5.9159 5.9159 9.0938
angles (deg): 90.00 90.00 120.00
Last column: nearest neighbours and their distance in Å.
Element x y z (fractional)
Pm  0.3333  0.6667  0.6635  6 Pd 2.98
Pm  0.0000  0.0000  0.0000  12 Pd 2.96-3.15
Pm  0.6667  0.3333  0.3365  6 Pd 2.98
Be  0.3333  0.6667  0.1514  6 Pd 2.17-2.19
Be  0.6667  0.3333  0.8486  6 Pd 2.17-2.19
Ga  0.0000  0.0000  0.5000  6 Pd 2.51
Pd  0.8368  0.1632  0.7065  1 Be 2.17
Pd  0.8368  0.6737  0.7065  1 Be 2.17
Pd  0.3263  0.1632  0.7065  1 Be 2.17
Pd  0.6737  0.8368  0.2935  1 Be 2.17
Pd  0.1632  0.3263  0.2935  1 Be 2.17
Pd  0.1632  0.8368  0.2935  1 Be 2.17
Pd  0.5000  0.0000  0.0000  2 Be 2.19
Pd  0.0000  0.5000  0.0000  2 Be 2.19
Pd  0.5000  0.5000  0.0000  2 Be 2.19

---

no.,ΔH_f (0 K) (meV/atom)
1,-558
2,-515
3,-199
4,-475
5,-391
6,-425
7,-255
8,-242
9,-127
10,19
11,-218
12,37
13,527
14,-456
15,-468
16,-630
17,-688
18,-666
19,-436
20,-670